(1)
Sr2CdCu, optimized geometry, DFT PBE; total magnetic moment = 0.00 μB/f.u.; energy of formation = -6 kJ/mol of atoms
1.0
4.021 0.000 0.000
0.000 5.277 0.000
0.000 0.000 11.686
Sr Cd Cu
4 2 2
Direct
0.000 0.000 0.000 Sr
0.000 0.500 0.210 Sr
0.500 0.000 0.710 Sr
0.500 0.500 0.500 Sr
0.000 0.000 0.414 Cd
0.500 0.500 0.914 Cd
0.000 0.500 0.753 Cu
0.500 0.000 0.253 Cu

(2)
MnBe2W, optimized geometry, DFT PBE; total magnetic moment = 0.00 μB/f.u.; energy of formation = 9 kJ/mol of atoms; energy above the lowest structure with this stoichiometry = 0.139 eV per atom
1.0
3.089 0.000 0.000
0.000 3.773 0.000
0.000 0.000 3.831
Mn Be W
1 2 1
Direct
0.000 0.000 0.000 Mn
0.000 0.500 0.500 Be
0.500 0.500 0.000 Be
0.500 0.000 0.500 W

(3)
AcGaHIr2, optimized geometry, DFT PBE; total magnetic moment = 0.00 μB/f.u.; energy = -6.0936 eV/atom
1.0
2.093 -5.694 0.000
2.093 5.694 0.000
0.000 0.000 7.170
Ac Ga H Ir
2 2 2 4
Direct
0.066 0.934 0.750 Ac
0.934 0.066 0.250 Ac
0.213 0.787 0.250 Ga
0.787 0.213 0.750 Ga
0.500 0.500 0.000 H
0.500 0.500 0.500 H
0.339 0.661 0.552 Ir
0.339 0.661 0.948 Ir
0.661 0.339 0.052 Ir
0.661 0.339 0.448 Ir

(4)
Pm4Tl5In, optimized geometry, DFT PBE; total magnetic moment = 0.00 μB/f.u.; energy of formation = -34 kJ/mol of atoms
1.0
5.056 0.000 0.000
-0.012 6.682 0.000
-2.517 -2.766 8.527
Pm Tl In
4 5 1
Direct
0.086 0.335 0.173 Pm
0.302 0.885 0.604 Pm
0.698 0.115 0.396 Pm
0.914 0.665 0.827 Pm
0.105 0.842 0.210 Tl
0.296 0.389 0.591 Tl
0.500 0.500 0.000 Tl
0.704 0.611 0.409 Tl
0.895 0.158 0.790 Tl
0.500 0.000 0.000 In

(5)
Sr2TcSb, optimized geometry, DFT PBE; total magnetic moment = 1.73 μB/f.u.; formation energy (no corrections) = 0.060 eV per atom
1.0
12.184 0.000 0.000
0.000 3.710 0.000
-1.966 0.000 5.240
Sr Tc Sb
4 2 2
Direct
0.000 0.000 0.000 Sr
0.200 0.000 0.645 Sr
0.500 0.500 0.000 Sr
0.700 0.500 0.645 Sr
0.426 0.000 0.445 Tc
0.926 0.500 0.445 Tc
0.269 0.500 0.198 Sb
0.769 0.000 0.198 Sb

(6)
HgOF3, optimized geometry, DFT PBE; total magnetic moment = 2.97 μB/f.u.; energy above the lowest structure with this stoichiometry = 0.000 eV per atom; formation energy (no corrections) = -0.382 eV per atom
1.0
6.400 0.000 0.000
0.000 6.904 0.000
-3.828 0.000 7.499
Hg O F
4 4 12
Direct
0.130 0.245 0.035 Hg
0.130 0.255 0.535 Hg
0.870 0.745 0.465 Hg
0.870 0.755 0.965 Hg
0.368 0.682 0.972 O
0.368 0.818 0.472 O
0.632 0.182 0.528 O
0.632 0.318 0.028 O
0.187 0.566 0.477 F
0.187 0.934 0.977 F
0.230 0.557 0.121 F
0.230 0.943 0.621 F
0.279 0.175 0.339 F
0.279 0.325 0.839 F
0.721 0.675 0.161 F
0.721 0.825 0.661 F
0.770 0.057 0.379 F
0.770 0.443 0.879 F
0.813 0.066 0.023 F
0.813 0.434 0.523 F

Number 1: V 30.99 Å³ per atom, calculated density 4.7 g/cm3. Number 2: V 11.16 Å³ per atom, calculated density 9.5 g/cm3. Number 3: V 17.09 Å³ per atom, calculated density 13.3 g/cm3. Number 4: V 28.81 Å³ per atom, calculated density 9.9 g/cm3. Number 5: V 29.61 Å³ per atom, calculated density 5.5 g/cm3. Number 6: V 16.57 Å³ per atom, calculated density 5.5 g/cm3.